# 1
A geometry-optimized Tb7Mg2Tl2 structure. Source: the Alexandria database, functional PBE-GGA.

Output
E_form ... 0.129 eV per atom
V ... 32.28 Å³/atom
Spin magnetization ... 0.0 μB/f.u.

a b c (Å): 7.804 11.360 8.011
angles (deg): 90.00 90.00 90.00
Space group Cmmm (No. 65)
Inequivalent atoms, fractional coordinates:
Tb (0.000, 0.000, 0.000) (multiplicity 2)
Tb (0.000, 0.500, 0.263) (multiplicity 4)
Tb (0.250, 0.250, 0.289) (multiplicity 8)
Mg (0.173, 0.000, 0.500) (multiplicity 4)
Tl (0.000, 0.295, 0.000) (multiplicity 4)

***

# 2
A geometry-optimized TbMg15Tl4 structure. Source: the Alexandria database, functional PBE-GGA.

Output
E_form ... -0.032 eV per atom
V ... 23.75 Å³/atom
Spin magnetization ... 0.0 μB/f.u.

a b c (Å): 4.763 4.763 20.934
angles (deg): 90.00 90.00 90.00
Space group P4/mmm (No. 123)
Inequivalent atoms, fractional coordinates:
Tb (0.000, 0.000, 0.000) (multiplicity 1)
Mg (0.000, 0.500, 0.106) (multiplicity 4)
Mg (0.000, 0.500, 0.303) (multiplicity 4)
Mg (0.000, 0.500, 0.500) (multiplicity 2)
Mg (0.500, 0.500, 0.000) (multiplicity 1)
Mg (0.500, 0.500, 0.207) (multiplicity 2)
Mg (0.500, 0.500, 0.400) (multiplicity 2)
Tl (0.000, 0.000, 0.202) (multiplicity 2)
Tl (0.000, 0.000, 0.402) (multiplicity 2)

***

# 3
A geometry-optimized Tb6MgTl structure. Source: the Alexandria database, functional PBE-GGA.

Output
E_form ... -0.077 eV per atom
Energy above the lowest structure with this stoichiometry ... 3.2 kJ per mole of atoms
V ... 29.41 Å³/atom
Spin magnetization ... 1.1 μB/f.u.

a b c (Å): 4.899 4.899 9.803
angles (deg): 90.00 90.00 90.00
Space group P4/mmm (No. 123)
Inequivalent atoms, fractional coordinates:
Tb (0.000, 0.000, 0.000) (multiplicity 1)
Tb (0.000, 0.000, 0.500) (multiplicity 1)
Tb (0.000, 0.500, 0.249) (multiplicity 4)
Mg (0.500, 0.500, 0.500) (multiplicity 1)
Tl (0.500, 0.500, 0.000) (multiplicity 1)

***

# 4
A geometry-optimized Tb5MgTl4 structure. Source: the Alexandria database, functional PBE-GGA.

Output
E_form ... -0.306 eV per atom
V ... 27.47 Å³/atom
Spin magnetization ... 0.0 μB/f.u.

a b c (Å): 3.807 3.807 18.953
angles (deg): 90.00 90.00 90.00
Space group P4/mmm (No. 123)
Inequivalent atoms, fractional coordinates:
Tb (0.000, 0.000, 0.000) (multiplicity 1)
Tb (0.000, 0.000, 0.201) (multiplicity 2)
Tb (0.000, 0.000, 0.403) (multiplicity 2)
Mg (0.500, 0.500, 0.500) (multiplicity 1)
Tl (0.500, 0.500, 0.101) (multiplicity 2)
Tl (0.500, 0.500, 0.305) (multiplicity 2)

***

# 5
A geometry-optimized TbMg7Tl4 structure. Source: the Alexandria database, functional PBE-GGA.

Output
E_form ... 0.109 eV per atom
V ... 26.41 Å³/atom
Spin magnetization ... 0.0 μB/f.u.

a b c (Å): 12.444 5.748 10.672
angles (deg): 90.00 123.86 90.00
Space group C2/m (No. 12)
Inequivalent atoms, fractional coordinates:
Tb (0.000, 0.000, 0.000) (multiplicity 2)
Mg (0.000, 0.500, 0.000) (multiplicity 2)
Mg (0.091, 0.000, 0.434) (multiplicity 4)
Mg (0.185, 0.500, 0.905) (multiplicity 4)
Mg (0.212, 0.500, 0.649) (multiplicity 4)
Tl (0.099, 0.500, 0.323) (multiplicity 4)
Tl (0.191, 0.000, 0.773) (multiplicity 4)

***

# 6
A geometry-optimized TbTmMgTl structure. Source: the Alexandria database, functional PBE-GGA.

Output
E_form ... -0.217 eV per atom
V ... 26.56 Å³/atom
Spin magnetization ... 0.0 μB/f.u.

a b c (Å): 7.518 7.518 7.518
angles (deg): 90.00 90.00 90.00
Space group F-43m (No. 216)
Inequivalent atoms, fractional coordinates:
Tb (0.000, 0.000, 0.000) (multiplicity 4)
Tm (0.000, 0.000, 0.500) (multiplicity 4)
Mg (0.250, 0.250, 0.250) (multiplicity 4)
Tl (0.250, 0.250, 0.750) (multiplicity 4)

***

# 7
A geometry-optimized Tb2TmMgTl4 structure. Source: the Alexandria database, functional PBE-GGA.

Output
E_form ... -0.281 eV per atom
V ... 26.50 Å³/atom
Spin magnetization ... 0.0 μB/f.u.

a b c (Å): 5.2540 5.2540 26.6003
angles (deg): 90.00 90.00 120.00
Space group R-3m (No. 166, hexagonal axes)
Inequivalent atoms, fractional coordinates:
Tb (0.0000, 0.0000, 0.2435) (multiplicity 6)
Tm (0.0000, 0.0000, 0.0000) (multiplicity 3)
Mg (0.0000, 0.0000, 0.5000) (multiplicity 3)
Tl (0.0000, 0.0000, 0.1232) (multiplicity 6)
Tl (0.0000, 0.0000, 0.3744) (multiplicity 6)

***

# 8
A geometry-optimized TbMgTlZn structure. Source: the Alexandria database, functional PBE-GGA.

Output
E_form ... -0.263 eV per atom
V ... 23.15 Å³/atom
Spin magnetization ... 0.0 μB/f.u.

a b c (Å): 7.182 7.182 7.182
angles (deg): 90.00 90.00 90.00
Space group F-43m (No. 216)
Inequivalent atoms, fractional coordinates:
Tb (0.000, 0.000, 0.000) (multiplicity 4)
Mg (0.000, 0.000, 0.500) (multiplicity 4)
Tl (0.250, 0.250, 0.250) (multiplicity 4)
Zn (0.250, 0.250, 0.750) (multiplicity 4)

***

# 9
A geometry-optimized Tb2Tm7Mg2 structure. Source: the Alexandria database, functional PBE-GGA.

Output
E_form ... 0.148 eV per atom
Energy above the lowest structure with this stoichiometry ... 0.0 kJ per mole of atoms
V ... 30.16 Å³/atom
Spin magnetization ... 0.0 μB/f.u.

a b c (Å): 9.285 9.221 7.992
angles (deg): 90.00 104.17 90.00
Space group C2/m (No. 12)
Inequivalent atoms, fractional coordinates:
Tb (0.000, 0.180, 0.000) (multiplicity 4)
Tm (0.000, 0.000, 0.500) (multiplicity 2)
Tm (0.188, 0.296, 0.678) (multiplicity 8)
Tm (0.193, 0.500, 0.030) (multiplicity 4)
Mg (0.093, 0.500, 0.352) (multiplicity 4)

***

# 10
A geometry-optimized Tb3Tm4Mg2 structure. Source: the Alexandria database, functional PBE-GGA.

Output
E_form ... 0.012 eV per atom
V ... 29.38 Å³/atom
Spin magnetization ... 0.0 μB/f.u.

a b c (Å): 14.694 4.870 7.801
angles (deg): 90.00 108.67 90.00
Space group C2/m (No. 12)
Inequivalent atoms, fractional coordinates:
Tb (0.000, 0.000, 0.000) (multiplicity 2)
Tb (0.112, 0.000, 0.665) (multiplicity 4)
Tm (0.056, 0.500, 0.335) (multiplicity 4)
Tm (0.221, 0.000, 0.332) (multiplicity 4)
Mg (0.170, 0.500, 0.000) (multiplicity 4)

***

# 11
A geometry-optimized Tb4Tm2Mg structure. Source: the Alexandria database, functional PBE-GGA.

Output
E_form ... 0.135 eV per atom
Energy above the lowest structure with this stoichiometry ... 2.8 kJ per mole of atoms
V ... 31.92 Å³/atom
Spin magnetization ... 0.0 μB/f.u.

a b c (Å): 5.868 3.597 10.721
angles (deg): 90.00 99.12 90.00
Space group P2/m (No. 10)
Inequivalent atoms, fractional coordinates:
Tb (0.056, 0.000, 0.204) (multiplicity 2)
Tb (0.427, 0.500, 0.749) (multiplicity 2)
Tm (0.000, 0.500, 0.500) (multiplicity 1)
Tm (0.500, 0.000, 0.500) (multiplicity 1)
Mg (0.500, 0.000, 0.000) (multiplicity 1)

***

# 12
A geometry-optimized Tb5TmMg structure. Source: the Alexandria database, functional PBE-GGA.

Output
E_form ... 0.184 eV per atom
V ... 31.51 Å³/atom
Spin magnetization ... 0.0 μB/f.u.

a b c (Å): 11.070 6.504 12.394
angles (deg): 90.00 98.64 90.00
Space group C2/c (No. 15)
Inequivalent atoms, fractional coordinates:
Tb (0.000, 0.201, 0.250) (multiplicity 4)
Tb (0.159, 0.446, 0.061) (multiplicity 8)
Tb (0.242, 0.062, 0.668) (multiplicity 8)
Tm (0.000, 0.290, 0.750) (multiplicity 4)
Mg (0.000, 0.000, 0.000) (multiplicity 4)

***

# 13
A geometry-optimized Tb2TmMg structure. Source: the Alexandria database, functional PBE-GGA.

Output
E_form ... 0.183 eV per atom
Energy above the lowest structure with this stoichiometry ... 20.0 kJ per mole of atoms
V ... 31.09 Å³/atom
Spin magnetization ... 0.0 μB/f.u.

a b c (Å): 3.4305 3.4305 36.6061
angles (deg): 90.00 90.00 120.00
Space group R-3m (No. 166, hexagonal axes)
Inequivalent atoms, fractional coordinates:
Tb (0.0000, 0.0000, 0.0897) (multiplicity 6)
Tm (0.0000, 0.0000, 0.5000) (multiplicity 3)
Mg (0.0000, 0.0000, 0.0000) (multiplicity 3)

***

# 14
A geometry-optimized Tb3Tm2Mg2 structure. Source: the Alexandria database, functional PBE-GGA.

Output
E_form ... 0.036 eV per atom
Energy above the lowest structure with this stoichiometry ... 5.3 kJ per mole of atoms
V ... 29.51 Å³/atom
Spin magnetization ... 0.0 μB/f.u.

a b c (Å): 5.228 22.871 3.455
angles (deg): 90.00 90.00 90.00
Space group Cmmm (No. 65)
Inequivalent atoms, fractional coordinates:
Tb (0.000, 0.000, 0.000) (multiplicity 2)
Tb (0.000, 0.151, 0.000) (multiplicity 4)
Tm (0.000, 0.288, 0.500) (multiplicity 4)
Mg (0.000, 0.431, 0.500) (multiplicity 4)

***

# 15
A geometry-optimized Tb4TmMg structure. Source: the Alexandria database, functional PBE-GGA.

Output
E_form ... 0.020 eV per atom
Energy above the lowest structure with this stoichiometry ... 3.4 kJ per mole of atoms
V ... 30.15 Å³/atom
Spin magnetization ... 0.0 μB/f.u.

a b c (Å): 10.516 6.098 11.818
angles (deg): 90.00 107.28 90.00
Space group C2/c (No. 15)
Inequivalent atoms, fractional coordinates:
Tb (0.082, 0.245, 0.499) (multiplicity 8)
Tb (0.168, 0.420, 0.250) (multiplicity 8)
Tm (0.250, 0.250, 0.000) (multiplicity 4)
Mg (0.000, 0.083, 0.750) (multiplicity 4)

***

# 16
A geometry-optimized Tb2Tm4Mg5 structure. Source: the Alexandria database, functional PBE-GGA.

Output
E_form ... 0.236 eV per atom
V ... 30.89 Å³/atom
Spin magnetization ... 0.0 μB/f.u.

a b c (Å): 6.143 10.056 22.002
angles (deg): 90.00 90.00 90.00
Space group Fmmm (No. 69)
Inequivalent atoms, fractional coordinates:
Tb (0.000, 0.000, 0.114) (multiplicity 8)
Tm (0.000, 0.168, 0.374) (multiplicity 16)
Mg (0.000, 0.000, 0.500) (multiplicity 4)
Mg (0.250, 0.250, 0.000) (multiplicity 8)
Mg (0.250, 0.250, 0.250) (multiplicity 8)

***

# 17
A geometry-optimized Tb5Tm2Mg2 structure. Source: the Alexandria database, functional PBE-GGA.

Output
E_form ... 0.118 eV per atom
V ... 30.76 Å³/atom
Spin magnetization ... 0.0 μB/f.u.

a b c (Å): 3.599 7.007 11.812
angles (deg): 100.42 98.75 104.88
Space group P-1 (No. 2)
Inequivalent atoms, fractional coordinates:
Tb (0.000, 0.000, 0.000) (multiplicity 1)
Tb (0.026, 0.649, 0.404) (multiplicity 2)
Tb (0.442, 0.731, 0.154) (multiplicity 2)
Tm (0.242, 0.144, 0.341) (multiplicity 2)
Mg (0.255, 0.667, 0.842) (multiplicity 2)

***

# 18
A geometry-optimized TbTmMg4 structure. Source: the Alexandria database, functional PBE-GGA.

Output
E_form ... -0.061 eV per atom
Energy above the lowest structure with this stoichiometry ... 0.0 kJ per mole of atoms
V ... 25.68 Å³/atom
Spin magnetization ... 0.0 μB/f.u.

a b c (Å): 8.510 8.510 8.510
angles (deg): 90.00 90.00 90.00
Space group F-43m (No. 216)
Inequivalent atoms, fractional coordinates:
Tb (0.000, 0.000, 0.000) (multiplicity 4)
Tm (0.250, 0.250, 0.250) (multiplicity 4)
Mg (0.125, 0.125, 0.625) (multiplicity 16)

***

# 19
A geometry-optimized TbTm2Mg structure. Source: the Alexandria database, functional PBE-GGA.

Output
E_form ... -0.023 eV per atom
Energy above the lowest structure with this stoichiometry ... 0.3 kJ per mole of atoms
V ... 28.94 Å³/atom
Spin magnetization ... 0.0 μB/f.u.

a b c (Å): 3.537 3.537 9.255
angles (deg): 90.00 90.00 90.00
Space group P4/mmm (No. 123)
Inequivalent atoms, fractional coordinates:
Tb (0.000, 0.000, 0.000) (multiplicity 1)
Tm (0.500, 0.500, 0.264) (multiplicity 2)
Mg (0.000, 0.000, 0.500) (multiplicity 1)

***

# 20
A geometry-optimized Tb2Tm3Mg structure. Source: the Alexandria database, functional PBE-GGA.

Output
E_form ... 0.141 eV per atom
Energy above the lowest structure with this stoichiometry ... 0.0 kJ per mole of atoms
V ... 30.71 Å³/atom
Spin magnetization ... 0.0 μB/f.u.

a b c (Å): 9.732 11.380 6.692
angles (deg): 90.00 96.09 90.00
Space group C2/c (No. 15)
Inequivalent atoms, fractional coordinates:
Tb (0.163, 0.233, 0.193) (multiplicity 8)
Tm (0.000, 0.050, 0.750) (multiplicity 4)
Tm (0.192, 0.481, 0.487) (multiplicity 8)
Mg (0.000, 0.321, 0.750) (multiplicity 4)